1.
## Ac7CeTl4 (GGA-PBE)

Data for a relaxed structure of Ac7CeTl4.

```
Ac7CeTl4
1.0
6.310 0.000 0.000
3.155 9.381 1.103
3.155 1.270 7.960
Ac Tl Ce
7 4 1
Cartesian
6.310 3.070 2.059
3.155 1.792 4.059
3.155 5.919 2.725
6.310 7.582 7.005
9.465 8.859 5.005
3.155 0.000 0.000
9.465 4.733 6.338
6.310 3.586 5.300
6.310 7.065 3.763
3.155 3.259 0.565
9.465 7.392 8.498
0.000 0.000 0.000
```

Results
total magnetization	0.137	μB per atom
Fermi-level density of states	17.8	states/eV/f.u.
volume	462.4	Å³/cell
crystal system	monoclinic
energy of formation	-0.0209	eV/atom
SG	C2/m, No. 12
VASP energy	-44.409	eV for the cell shown

=====

2.
## CdPtCl2 (GGA-PBE)

Data for a relaxed structure of CdPtCl2.

```
CdPtCl2
1.0
-1.128 1.826 2.795
3.617 -3.197 3.547
5.625 1.706 1.155
Cl Pt Cd
2 1 1
Cartesian
3.737 -0.605 1.903
0.884 -0.140 0.448
1.747 0.540 2.573
6.368 -0.205 4.924
```

Results
total magnetization	0.000	μB per atom
Fermi-level density of states	2.8	states/eV/f.u.
volume	107.3	Å³/cell
E_form (uncorrected)	-187	meV/atom
crystal system	orthorhombic
SG	Cmmm, No. 65
VASP energy	-11.396	eV for the cell shown
energy relative to the lowest polymorph listed for this composition	0.252	eV per atom